Entry from the Alexandria database: a relaxed HfBrCl crystal (PBEsol).

The structure in CIF format:
```
data_HfBrCl
_chemical_formula_sum 'Hf4 Br4 Cl4'
_cell_length_a 14.073
_cell_length_b 3.368
_cell_length_c 5.812
_cell_angle_alpha 90.00
_cell_angle_beta 95.51
_cell_angle_gamma 90.00
_symmetry_space_group_name_H-M 'C 1 m 1'
_symmetry_Int_Tables_number 8
loop_
_symmetry_equiv_pos_as_xyz
'x,y,z'
'x,-y,z'
'x+1/2,y+1/2,z'
'x+1/2,-y+1/2,z'
loop_
_atom_site_label
_atom_site_type_symbol
_atom_site_fract_x
_atom_site_fract_y
_atom_site_fract_z
Hf1 Hf 0.000 0.000 0.000
Hf2 Hf 0.000 0.500 0.500
Br1 Br 0.133 0.000 0.697
Br2 Br 0.367 0.000 0.135
Cl1 Cl 0.118 0.500 0.195
Cl2 Cl 0.382 0.500 0.640
```

Its crystal system is monoclinic. Its final energy is -6.20 eV/atom. As for the energy relative to the elements, uncorrected: -1.40 eV per atom.

---

Entry from the Alexandria database: a relaxed HgBr2Cl crystal (PBEsol).

The structure in CIF format:
```
data_HgBr2Cl
_chemical_formula_sum 'Hg1 Br2 Cl1'
_cell_length_a 3.970
_cell_length_b 3.971
_cell_length_c 6.566
_cell_angle_alpha 90.00
_cell_angle_beta 90.58
_cell_angle_gamma 90.00
_symmetry_space_group_name_H-M 'P 1 2/m 1'
_symmetry_Int_Tables_number 10
loop_
_symmetry_equiv_pos_as_xyz
'x,y,z'
'-x,-y,-z'
'-x,y,-z'
'x,-y,z'
loop_
_atom_site_label
_atom_site_type_symbol
_atom_site_fract_x
_atom_site_fract_y
_atom_site_fract_z
Hg1 Hg 0.000 0.000 0.000
Br1 Br 0.000 0.500 0.500
Br2 Br 0.500 0.000 0.500
Cl1 Cl 0.500 0.500 0.000
```

Its crystal system is monoclinic. Its final energy is -1.61 eV/atom. As for the energy relative to the elements, uncorrected: -0.03 eV per atom.

---

Entry from the Alexandria database: a relaxed HgBrCl crystal (PBEsol).

The structure in CIF format:
```
data_HgBrCl
_chemical_formula_sum 'Hg4 Br4 Cl4'
_cell_length_a 13.520
_cell_length_b 6.381
_cell_length_c 3.999
_cell_angle_alpha 90.00
_cell_angle_beta 90.00
_cell_angle_gamma 90.00
_symmetry_space_group_name_H-M 'P n m a'
_symmetry_Int_Tables_number 62
loop_
_symmetry_equiv_pos_as_xyz
'x,y,z'
'-x,-y,-z'
'-x+1/2,-y,z+1/2'
'x+1/2,y,-z+1/2'
'x+1/2,-y+1/2,-z+1/2'
'-x+1/2,y+1/2,z+1/2'
'-x,y+1/2,-z'
'x,-y+1/2,z'
loop_
_atom_site_label
_atom_site_type_symbol
_atom_site_fract_x
_atom_site_fract_y
_atom_site_fract_z
Hg1 Hg 0.160 0.250 0.081
Br1 Br 0.191 0.750 0.937
Cl1 Cl 0.034 0.250 0.679
```

Its crystal system is orthorhombic. Its final energy is -1.97 eV/atom. As for the energy relative to the elements, uncorrected: -0.49 eV per atom.

---

Entry from the Alexandria database: a relaxed HgBrCl crystal (PBEsol).

The structure in CIF format:
```
data_HgBrCl
_chemical_formula_sum 'Hg4 Br4 Cl4'
_cell_length_a 3.859
_cell_length_b 6.850
_cell_length_c 13.206
_cell_angle_alpha 90.00
_cell_angle_beta 90.00
_cell_angle_gamma 90.00
_symmetry_space_group_name_H-M 'F m m 2'
_symmetry_Int_Tables_number 42
_symmetry_space_group_name_Hall 'F 2 -2'
loop_
_atom_site_label
_atom_site_type_symbol
_atom_site_fract_x
_atom_site_fract_y
_atom_site_fract_z
Hg1 Hg 0.000 0.000 0.000
Br1 Br 0.000 0.000 0.360
Cl1 Cl 0.000 0.000 0.629
```

Its crystal system is orthorhombic. Its final energy is -1.86 eV/atom. As for the energy relative to the elements, uncorrected: -0.37 eV per atom.

---

Q: What is the formula in the first record?
A: HfBrCl